DFT (PBE-GGA) results for a relaxed SrHfMg2Sb crystal.

Unit cell a=5.505 b=5.505 c=5.742 alpha=90.00 beta=90.00 gamma=90.00
Space group P4/mmm (No. 123)
Symmetry-distinct sites (fractional):
Sr: 0.000 0.000 0.000 (multiplicity 1)
Hf: 0.500 0.500 0.500 (multiplicity 1)
Mg: 0.000 0.500 0.000 (multiplicity 2)
Sb: 0.000 0.000 0.500 (multiplicity 1)

Size of the total moment, μB per formula unit: 0.8
D(E_F), states/eV per atom: 0.901
Calculated total energy, eV per atom: -2.463